Record 1
Er2FeRu after structural relaxation. Source: Alexandria via LeMat-Bulk, functional PBE.

Properties
Its space-group type is R-3m, No. 166. As for the formation energy: 0.45 eV per atom. The calculation puts the electronic total energy at -6.2676 eV per atom.

a b c (Å): 9.626 9.626 9.626
angles (deg): 19.47 19.47 19.47
Fractional positions:
1 Er 0.095 0.095 0.095
2 Er 0.905 0.905 0.905
3 Fe 0.000 0.000 0.000
4 Ru 0.500 0.500 0.500

Record 2
Er2Fe3Ru after structural relaxation. Source: Alexandria via LeMat-Bulk, functional PBE.

Properties
Its space-group type is R-3m, No. 166. As for the formation energy: -0.21 eV per atom. The calculation puts the electronic total energy at -7.5064 eV per atom.

a b c (Å): 5.214 5.214 5.214
angles (deg): 58.78 58.78 58.78
Fractional positions:
1 Er 0.125 0.125 0.125
2 Er 0.875 0.875 0.875
3 Fe 0.000 0.500 0.500
4 Fe 0.500 0.000 0.500
5 Fe 0.500 0.500 0.000
6 Ru 0.500 0.500 0.500

Record 3
Er8FeRu2 after structural relaxation. Source: Alexandria via LeMat-Bulk, functional PBE.

Properties
Its space-group type is C2/m, No. 12. As for the formation energy: -0.19 eV per atom. The calculation puts the electronic total energy at -5.9597 eV per atom.

a b c (Å): 8.883 8.883 6.762
angles (deg): 107.06 107.06 31.27
Fractional positions:
1 Er 0.029 0.029 0.297
2 Er 0.203 0.203 0.811
3 Er 0.335 0.335 0.538
4 Er 0.405 0.405 0.051
5 Er 0.595 0.595 0.949
6 Er 0.665 0.665 0.462
7 Er 0.797 0.797 0.189
8 Er 0.971 0.971 0.703
9 Fe 0.500 0.500 0.500
10 Ru 0.184 0.184 0.197
11 Ru 0.816 0.816 0.803

Which of these has the highest formation energy?
Er2FeRu

Look up the electronic total energy of the first one.
-6.2676 eV per atom

The lowest formation energy belongs to which entry?
Er2Fe3Ru

Which formula does entry 2 have?
Er2Fe3Ru